# 1
16
Lattice="7.4566 0.0000 0.0000 0.0000 7.4566 0.0000 0.0000 0.0000 5.5766" Properties=species:S:1:pos:R:3 comment="NaFe2Sn (PBE, relaxed)" spacegroup=I-42d pbc="T T T"
Na 0.0000 0.0000 0.0000
Na 0.0000 3.7283 1.3941
Na 3.7283 0.0000 4.1824
Na 3.7283 3.7283 2.7883
Fe 1.7156 5.5924 3.4854
Fe 1.8641 1.7156 2.0912
Fe 1.8641 2.0127 4.8795
Fe 2.0127 5.5924 0.6971
Fe 5.4439 1.8641 0.6971
Fe 5.5924 5.4439 4.8795
Fe 5.5924 5.7410 2.0912
Fe 5.7410 1.8641 3.4854
Sn 0.0000 0.0000 2.7883
Sn 0.0000 3.7283 4.1824
Sn 3.7283 0.0000 1.3941
Sn 3.7283 3.7283 0.0000

# 2
5
Lattice="5.3868 0.0000 0.0000 0.0000 5.3868 0.0000 0.0000 0.0000 5.3868" Properties=species:S:1:pos:R:3 comment="Na3FeSn (PBE, relaxed)" polymorph_energy_mev_per_atom=0 spacegroup=Pm-3m pbc="T T T"
Na 0.0000 0.0000 2.6934
Na 0.0000 2.6934 0.0000
Na 2.6934 0.0000 0.0000
Fe 0.0000 0.0000 0.0000
Sn 2.6934 2.6934 2.6934

# 3
5
Lattice="4.4871 0.0000 0.0000 0.0000 4.4871 0.0000 0.0000 0.0000 4.4871" Properties=species:S:1:pos:R:3 comment="NaFe3Sn (PBE, relaxed)" polymorph_energy_mev_per_atom=374 spacegroup=Pm-3m pbc="T T T"
Na 0.0000 0.0000 0.0000
Fe 0.0000 0.0000 2.2436
Fe 0.0000 2.2436 0.0000
Fe 2.2436 0.0000 0.0000
Sn 2.2436 2.2436 2.2436

# 4
16
Lattice="8.6273 0.0000 0.0000 0.0000 8.6273 0.0000 0.0000 0.0000 5.2693" Properties=species:S:1:pos:R:3 comment="Na2FeSn (PBE, relaxed)" spacegroup=I-42d pbc="T T T"
Na 1.8405 2.1568 0.6587
Na 2.1568 6.1542 1.9760
Na 2.1568 6.7869 4.6106
Na 2.4732 2.1568 3.2933
Na 6.1542 6.4705 3.2933
Na 6.4705 1.8405 4.6106
Na 6.4705 2.4732 1.9760
Na 6.7869 6.4705 0.6587
Fe 0.0000 0.0000 0.0000
Fe 0.0000 4.3137 1.3173
Fe 4.3137 0.0000 3.9520
Fe 4.3137 4.3137 2.6346
Sn 0.0000 0.0000 2.6346
Sn 0.0000 4.3137 3.9520
Sn 4.3137 0.0000 1.3173
Sn 4.3137 4.3137 0.0000

# 5
5
Lattice="4.9353 0.0000 0.0000 0.0000 4.9353 0.0000 0.0000 0.0000 4.9353" Properties=species:S:1:pos:R:3 comment="NaFe3Sn (PBE, relaxed)" polymorph_energy_mev_per_atom=0 spacegroup=Pm-3m pbc="T T T"
Na 0.0000 0.0000 0.0000
Fe 0.0000 2.4676 2.4676
Fe 2.4676 0.0000 2.4676
Fe 2.4676 2.4676 0.0000
Sn 2.4676 2.4676 2.4676

# 6
5
Lattice="4.8579 0.0000 0.0000 0.0000 4.8579 0.0000 0.0000 0.0000 4.8579" Properties=species:S:1:pos:R:3 comment="NaSrFe3 (PBE, relaxed)" polymorph_energy_mev_per_atom=0 spacegroup=Pm-3m pbc="T T T"
Na 0.0000 0.0000 0.0000
Sr 2.4289 2.4289 2.4289
Fe 0.0000 0.0000 2.4289
Fe 0.0000 2.4289 0.0000
Fe 2.4289 0.0000 0.0000

# 7
16
Lattice="8.1706 0.0000 0.0000 0.0000 8.1706 0.0000 0.0000 0.0000 8.1706" Properties=species:S:1:pos:R:3 comment="NaSr2Fe (PBE, relaxed)" polymorph_energy_mev_per_atom=0 spacegroup=Fm-3m pbc="T T T"
Na 0.0000 0.0000 0.0000
Na 0.0000 4.0853 4.0853
Na 4.0853 0.0000 4.0853
Na 4.0853 4.0853 0.0000
Sr 2.0426 2.0426 2.0426
Sr 2.0426 2.0426 6.1279
Sr 2.0426 6.1279 2.0426
Sr 2.0426 6.1279 6.1279
Sr 6.1279 2.0426 2.0426
Sr 6.1279 2.0426 6.1279
Sr 6.1279 6.1279 2.0426
Sr 6.1279 6.1279 6.1279
Fe 0.0000 0.0000 4.0853
Fe 0.0000 4.0853 0.0000
Fe 4.0853 0.0000 0.0000
Fe 4.0853 4.0853 4.0853

# 8
16
Lattice="8.9786 0.0000 0.0000 0.0000 8.9786 0.0000 0.0000 0.0000 7.4049" Properties=species:S:1:pos:R:3 comment="NaSr2Fe (PBE, relaxed)" polymorph_energy_mev_per_atom=167 spacegroup=I-42d pbc="T T T"
Na 0.0000 0.0000 0.0000
Na 0.0000 4.4893 1.8512
Na 4.4893 0.0000 5.5537
Na 4.4893 4.4893 3.7024
Sr 1.8065 2.2446 4.6281
Sr 2.2446 6.2958 6.4793
Sr 2.2446 7.1721 2.7768
Sr 2.6828 2.2446 0.9256
Sr 6.2958 6.7339 0.9256
Sr 6.7339 1.8065 2.7768
Sr 6.7339 2.6828 6.4793
Sr 7.1721 6.7339 4.6281
Fe 0.0000 0.0000 3.7024
Fe 0.0000 4.4893 5.5537
Fe 4.4893 0.0000 1.8512
Fe 4.4893 4.4893 0.0000

| no. | magnetization (Bohr magnetons per cell) | energy relative to the elements (kJ/mol of formula units) |
| --- | --- | --- |
| 1 | 20.2 | 307 |
| 2 | 2.9 | 404 |
| 3 | 8.5 | 764 |
| 4 | 9.8 | 201 |
| 5 | 8.8 | 583 |
| 6 | 8.8 | 718 |
| 7 | 11.8 | 195 |
| 8 | 8.9 | 260 |